Compound: SrCo3W
Source: Alexandria via LeMat-Bulk
Functional: PBE
Structure: optimized geometry

CIF file:
```
data_SrCo3W
_chemical_formula_sum 'Sr1 Co3 W1'
_cell_length_a 4.4080
_cell_length_b 4.4080
_cell_length_c 4.4080
_cell_angle_alpha 90.00
_cell_angle_beta 90.00
_cell_angle_gamma 90.00
_space_group_name_H-M_alt 'P m -3 m'
_space_group_IT_number 221
_space_group_name_Hall '-P 4 2 3'
loop_
_atom_site_label
_atom_site_type_symbol
_atom_site_fract_x
_atom_site_fract_y
_atom_site_fract_z
Sr1 Sr 0.0000 0.0000 0.0000
Co1 Co 0.0000 0.0000 0.5000
W1 W 0.5000 0.5000 0.5000
```

ρ in g cm⁻³: 8.7
E above lowest polymorph in meV per atom: 1788